1.
! Li3Zn | the Alexandria database | meta-GGA SCAN | PBEsol geometry; values from VASP
&SYSTEM
  ibrav = 0, nat = 8, ntyp = 2
/
ATOMIC_SPECIES
Li 6.94 Li.upf
Zn 65.41 Zn.upf
ATOMIC_POSITIONS crystal
Li 0.000 0.000 0.000
Li 0.250 0.250 0.500
Li 0.250 0.750 0.500
Li 0.500 0.500 0.000
Li 0.750 0.250 0.500
Li 0.750 0.750 0.500
Zn 0.000 0.500 0.000
Zn 0.500 0.000 0.000
CELL_PARAMETERS angstrom
5.816 0.000 0.000
0.000 7.458 0.000
0.000 0.000 2.913
! Total energy (eV/atom): -5.253
! Crystal system: orthorhombic
! Symmetry: No. 65

2.
! SiB2PdPt | the Alexandria database | meta-GGA SCAN | PBEsol geometry; values from VASP
&SYSTEM
  ibrav = 0, nat = 5, ntyp = 4
/
ATOMIC_SPECIES
Si 28.09 Si.upf
B 10.81 B.upf
Pd 106.42 Pd.upf
Pt 195.08 Pt.upf
ATOMIC_POSITIONS crystal
Si 0.000 0.000 0.000
B 0.000 0.500 0.000
B 0.500 0.000 0.000
Pd 0.500 0.500 0.500
Pt 0.000 0.000 0.500
CELL_PARAMETERS angstrom
3.911 0.000 0.000
0.000 3.911 0.000
0.000 0.000 4.583
! Crystal system: tetragonal
! Formation energy without anion corrections (eV/atom): 1.108
! Symmetry: No. 123

3.
! Li4P2O7 | the Alexandria database | meta-GGA SCAN | PBEsol geometry; values from VASP
&SYSTEM
  ibrav = 0, nat = 52, ntyp = 3
/
ATOMIC_SPECIES
Li 6.94 Li.upf
P 30.97 P.upf
O 16.00 O.upf
ATOMIC_POSITIONS crystal
Li 0.101 0.107 0.432
Li 0.101 0.393 0.932
Li 0.145 0.719 0.948
Li 0.145 0.781 0.448
Li 0.256 0.175 0.953
Li 0.256 0.325 0.453
Li 0.261 0.558 0.440
Li 0.261 0.942 0.940
Li 0.739 0.058 0.060
Li 0.739 0.442 0.560
Li 0.744 0.675 0.547
Li 0.744 0.825 0.047
Li 0.855 0.219 0.552
Li 0.855 0.281 0.052
Li 0.899 0.607 0.068
Li 0.899 0.893 0.568
P 0.436 0.052 0.264
P 0.436 0.448 0.764
P 0.444 0.667 0.762
P 0.444 0.833 0.262
P 0.556 0.167 0.738
P 0.556 0.333 0.238
P 0.564 0.552 0.236
P 0.564 0.948 0.736
O 0.138 0.069 0.255
O 0.138 0.431 0.755
O 0.145 0.689 0.749
O 0.145 0.811 0.249
O 0.277 0.222 0.596
O 0.277 0.278 0.096
O 0.295 0.613 0.107
O 0.295 0.887 0.607
O 0.386 0.054 0.087
O 0.386 0.446 0.587
O 0.409 0.671 0.589
O 0.409 0.829 0.089
O 0.447 0.057 0.664
O 0.447 0.443 0.164
O 0.553 0.557 0.836
O 0.553 0.943 0.336
O 0.591 0.171 0.911
O 0.591 0.329 0.411
O 0.614 0.554 0.413
O 0.614 0.946 0.913
O 0.705 0.113 0.393
O 0.705 0.387 0.893
O 0.723 0.722 0.904
O 0.723 0.778 0.404
O 0.855 0.189 0.751
O 0.855 0.311 0.251
O 0.862 0.569 0.245
O 0.862 0.931 0.745
CELL_PARAMETERS angstrom
5.184 0.000 0.000
0.000 13.871 0.000
-5.155 0.000 7.884
! Crystal system: monoclinic
! Formation energy without anion corrections (eV/atom): -2.602
! Symmetry: No. 14

4.
! CeAl3Ni2 | the Alexandria database | meta-GGA SCAN | PBEsol geometry; values from VASP
&SYSTEM
  ibrav = 0, nat = 6, ntyp = 3
/
ATOMIC_SPECIES
Ce 140.12 Ce.upf
Al 26.98 Al.upf
Ni 58.69 Ni.upf
ATOMIC_POSITIONS crystal
Ce 0.000 0.000 0.000
Al 0.000 0.500 0.500
Al 0.500 0.000 0.500
Al 0.500 0.500 0.500
Ni 0.333 0.667 0.000
Ni 0.667 0.333 0.000
CELL_PARAMETERS angstrom
5.224 0.000 0.000
-2.612 4.525 0.000
0.000 0.000 3.997
! Total energy (eV/atom): -17.336
! Crystal system: hexagonal
! Symmetry: No. 191

5.
! Ba2YCr3O7 | the Alexandria database | meta-GGA SCAN | PBEsol geometry; values from VASP
&SYSTEM
  ibrav = 0, nat = 13, ntyp = 4
/
ATOMIC_SPECIES
Ba 137.33 Ba.upf
Y 88.91 Y.upf
Cr 52.00 Cr.upf
O 16.00 O.upf
ATOMIC_POSITIONS crystal
Ba 0.000 0.000 0.178
Ba 0.000 0.000 0.822
Y 0.000 0.000 0.500
Cr 0.500 0.500 0.000
Cr 0.500 0.500 0.348
Cr 0.500 0.500 0.652
O 0.000 0.500 0.000
O 0.000 0.500 0.377
O 0.000 0.500 0.623
O 0.500 0.000 0.377
O 0.500 0.000 0.623
O 0.500 0.500 0.174
O 0.500 0.500 0.826
CELL_PARAMETERS angstrom
3.875 0.000 0.000
0.000 3.884 0.000
0.000 0.000 11.396
! Crystal system: orthorhombic
! Formation energy without anion corrections (eV/atom): -2.750
! Symmetry: No. 47

6.
! Li2CaRe | the Alexandria database | meta-GGA SCAN | PBEsol geometry; values from VASP
&SYSTEM
  ibrav = 0, nat = 4, ntyp = 3
/
ATOMIC_SPECIES
Li 6.94 Li.upf
Ca 40.08 Ca.upf
Re 186.21 Re.upf
ATOMIC_POSITIONS crystal
Li 0.000 0.000 0.209
Li 0.000 0.000 0.791
Ca 0.500 0.500 0.500
Re 0.500 0.500 0.000
CELL_PARAMETERS angstrom
2.675 0.000 0.000
0.000 2.675 0.000
0.000 0.000 10.082
! Energy relative to the lowest polymorph listed for this composition (eV per atom): 0.034
! Crystal system: tetragonal
! Symmetry: No. 123

7.
! TeSI2 | the Alexandria database | meta-GGA SCAN | PBEsol geometry; values from VASP
&SYSTEM
  ibrav = 0, nat = 16, ntyp = 3
/
ATOMIC_SPECIES
Te 127.60 Te.upf
S 32.06 S.upf
I 126.90 I.upf
ATOMIC_POSITIONS crystal
Te 0.000 0.000 0.000
Te 0.000 0.500 0.250
Te 0.500 0.000 0.750
Te 0.500 0.500 0.500
S 0.000 0.000 0.500
S 0.000 0.500 0.750
S 0.500 0.000 0.250
S 0.500 0.500 0.000
I 0.228 0.250 0.625
I 0.250 0.728 0.875
I 0.250 0.772 0.375
I 0.272 0.250 0.125
I 0.728 0.750 0.125
I 0.750 0.228 0.375
I 0.750 0.272 0.875
I 0.772 0.750 0.625
CELL_PARAMETERS angstrom
8.012 0.000 0.000
0.000 8.012 0.000
0.000 0.000 7.729
! Crystal system: tetragonal
! Formation energy without anion corrections (eV/atom): 0.651
! Symmetry: No. 122

8.
! NaTaH2Ru | the Alexandria database | meta-GGA SCAN | PBEsol geometry; values from VASP
&SYSTEM
  ibrav = 0, nat = 5, ntyp = 4
/
ATOMIC_SPECIES
Na 22.99 Na.upf
Ta 180.95 Ta.upf
H 1.01 H.upf
Ru 101.07 Ru.upf
ATOMIC_POSITIONS crystal
Na 0.000 0.000 0.000
Ta 0.500 0.500 0.500
H 0.000 0.500 0.500
H 0.500 0.000 0.500
Ru 0.500 0.500 0.000
CELL_PARAMETERS angstrom
3.753 0.000 0.000
0.000 3.753 0.000
0.000 0.000 4.817
! Total energy (eV/atom): -21.770
! Crystal system: tetragonal
! Symmetry: No. 123

no.,N(E_F) (states/eV per cell)
1,2.98
2,2.75
3,0.00
4,4.74
5,1.86
6,2.39
7,10.65
8,1.85